1.
Density functional theory data (GGA-PBE) for a geometry-optimized K2LaCd structure.

abc: 4.0495 4.0500 12.2038
angles: 70.87 90.00 90.00
Positions (direct):
K 0.0000 0.0749 0.9290
K 0.5000 0.2186 0.2786
La 0.0000 0.4223 0.5762
Cd 0.5000 0.7841 0.7162

Results
total energy = -1.980 eV/atom
energy relative to the elements = 0.12 eV per formula unit
symmetry = Pm



2.
Density functional theory data (GGA-PBE) for a geometry-optimized KLaCd structure.

abc: 5.5889 5.5889 5.5889
angles: 60.00 60.00 60.00
Positions (direct):
K 0.0000 0.0000 0.0000
La 0.5000 0.5000 0.5000
Cd 0.7500 0.7500 0.7500

Results
total energy = -2.011 eV/atom
energy relative to the elements = 0.91 eV per formula unit
symmetry = F-43m



3.
Density functional theory data (GGA-PBE) for a geometry-optimized KLaCd2 structure.

abc: 8.9301 8.9301 7.3216
angles: 52.42 52.42 90.00
Positions (direct):
K 0.5000 0.5000 0.0000
K 0.2500 0.7500 0.5000
Cd 0.6377 0.1250 0.2500
Cd 0.8750 0.8877 0.7500
Cd 0.1123 0.6250 0.2500
Cd 0.3750 0.3623 0.7500
La 0.7500 0.2500 0.5000
La 0.0000 0.0000 0.0000

Results
total energy = -1.753 eV/atom
energy relative to the elements = 0.84 eV per formula unit
polymorph energy (0 for the lowest one) = 1.41 eV per formula unit
symmetry = I-42d



4.
Density functional theory data (GGA-PBE) for a geometry-optimized K2LaCd structure.

abc: 3.7628 3.7628 13.2249
angles: 90.00 90.00 114.21
Positions (direct):
K 0.0000 0.0000 0.9751
K 0.0000 0.0000 0.5249
Cd 0.5000 0.5000 0.7500
La 0.5000 0.5000 0.2500

Results
total energy = -1.771 eV/atom
energy relative to the elements = 0.95 eV per formula unit
symmetry = Cmmm



5.
Density functional theory data (GGA-PBE) for a geometry-optimized K2LaCd structure.

abc: 8.1763 8.1763 8.1763
angles: 153.68 129.87 57.49
Positions (direct):
La 0.5574 0.5574 0.0000
K 0.9538 0.9538 0.0000
K 0.2502 0.7502 0.5000
Cd 0.7386 0.2386 0.5000

Results
total energy = -1.779 eV/atom
energy relative to the elements = 0.92 eV per formula unit
symmetry = Imm2



6.
Density functional theory data (GGA-PBE) for a geometry-optimized K2LaCd structure.

abc: 7.4788 7.4788 3.5587
angles: 90.00 90.00 120.68
Positions (direct):
La 0.5000 0.0000 0.5000
K 0.5000 0.5000 0.0000
K 0.0000 0.0000 0.0000
Cd 0.0000 0.5000 0.5000

Results
total energy = -1.675 eV/atom
energy relative to the elements = 1.34 eV per formula unit
symmetry = Cmmm



7.
Density functional theory data (GGA-PBE) for a geometry-optimized KLaCd10 structure.

abc: 4.8670 6.0921 10.4956
angles: 90.00 90.00 90.00
Positions (direct):
Cd 0.5000 0.0000 0.5000
Cd 0.5000 0.7619 0.2326
Cd 0.5000 0.5000 0.0000
Cd 0.0000 0.0000 0.3346
Cd 0.0000 0.5000 0.8311
Cd 0.5000 0.7619 0.7674
Cd 0.0000 0.0000 0.6654
Cd 0.5000 0.2381 0.2326
Cd 0.5000 0.2381 0.7674
Cd 0.0000 0.5000 0.1689
La 0.0000 0.0000 0.0000
K 0.0000 0.5000 0.5000

Results
total energy = -1.405 eV/atom
energy relative to the elements = -1.68 eV per formula unit
symmetry = Pmmm



8.
Density functional theory data (GGA-PBE) for a geometry-optimized K2LaCd structure.

abc: 6.0283 6.0283 6.0283
angles: 119.93 119.93 90.13
Positions (direct):
K 0.0000 0.0000 0.0000
K 0.2500 0.7500 0.5000
La 0.5000 0.5000 0.0000
Cd 0.7500 0.2500 0.5000

Results
total energy = -1.699 eV/atom
energy relative to the elements = 1.24 eV per formula unit
symmetry = I-4m2



9.
Density functional theory data (GGA-PBE) for a geometry-optimized KLaCd structure.

abc: 8.5732 8.5727 3.8604
angles: 77.00 76.98 26.02
Positions (direct):
La 0.6278 0.6278 0.3722
K 0.3561 0.3561 0.6439
Cd 0.0161 0.0161 0.9839

Results
total energy = -2.280 eV/atom
energy relative to the elements = 0.10 eV per formula unit
symmetry = I4mm



10.
Density functional theory data (GGA-PBE) for a geometry-optimized K2LaCd structure.

abc: 7.5482 7.5482 7.5482
angles: 141.66 141.66 55.35
Positions (direct):
Cd 0.7500 0.2500 0.5000
K 0.0000 0.0000 0.0000
K 0.5000 0.5000 0.0000
La 0.2500 0.7500 0.5000

Results
total energy = -1.743 eV/atom
energy relative to the elements = 1.07 eV per formula unit
symmetry = I4/mmm



11.
Density functional theory data (GGA-PBE) for a geometry-optimized KLaCd3 structure.

abc: 5.6133 5.6133 5.6133
angles: 90.00 90.00 90.00
Positions (direct):
K 0.0000 0.0000 0.0000
Cd 0.5000 0.0000 0.0000
Cd 0.0000 0.5000 0.0000
Cd 0.0000 0.0000 0.5000
La 0.5000 0.5000 0.5000

Results
total energy = -1.207 eV/atom
energy relative to the elements = 2.73 eV per formula unit
polymorph energy (0 for the lowest one) = 1.03 eV per formula unit
symmetry = Pm-3m



12.
Density functional theory data (GGA-PBE) for a geometry-optimized K4LaCd structure.

abc: 7.6017 7.6017 7.6017
angles: 60.00 60.00 60.00
Positions (direct):
K 0.8771 0.3743 0.3743
K 0.3743 0.3743 0.3743
K 0.3743 0.8771 0.3743
K 0.3743 0.3743 0.8771
Cd 0.0000 0.0000 0.0000
La 0.7500 0.7500 0.7500

Results
total energy = -1.220 eV/atom
energy relative to the elements = 2.91 eV per formula unit
symmetry = F-43m